# 1
First-principles (GGA-PBE) data for a geometry-optimized Ce3PmS4 structure, as listed in Alexandria.

Unit cell a=5.6779 b=5.6779 c=5.6779 alpha=90.00 beta=90.00 gamma=90.00
Space group Pm-3m (No. 221)
Unique sites:
Ce 0.0000 0.0000 0.5000 [3 per cell]
Pm 0.5000 0.5000 0.5000 [1 per cell]
S 0.0000 0.0000 0.0000 [1 per cell]
S 0.0000 0.5000 0.5000 [3 per cell]

***

# 2
First-principles (GGA-PBE) data for a geometry-optimized CePmS2 structure, as listed in Alexandria.

Unit cell a=4.0295 b=4.0295 c=19.7575 alpha=90.00 beta=90.00 gamma=120.00
Space group R-3m (No. 166, hexagonal axes)
Unique sites:
Ce 0.0000 0.0000 0.0000 [3 per cell]
Pm 0.0000 0.0000 0.5000 [3 per cell]
S 0.0000 0.0000 0.2500 [6 per cell]

***

# 3
First-principles (GGA-PBE) data for a geometry-optimized CePmS3 structure, as listed in Alexandria.

Unit cell a=7.4784 b=4.0268 c=15.4886 alpha=90.00 beta=90.00 gamma=90.00
Space group Pnma (No. 62)
Unique sites:
Ce 0.1382 0.2500 0.2061 [4 per cell]
Pm 0.2366 0.7500 0.4564 [4 per cell]
S 0.0096 0.2500 0.3917 [4 per cell]
S 0.1254 0.7500 0.0686 [4 per cell]
S 0.1482 0.2500 0.7798 [4 per cell]

***

Number 1: formation energy from raw total energies -2.05 eV/atom. Number 2: formation energy from raw total energies -2.04 eV/atom. Number 3: formation energy from raw total energies -2.05 eV/atom.